! Ti6BeTl (PBE, relaxed); values from VASP
&SYSTEM
  ibrav = 0, nat = 8, ntyp = 3
/
ATOMIC_SPECIES
Ti 47.87 Ti.upf
Be 9.01 Be.upf
Tl 204.38 Tl.upf
CELL_PARAMETERS angstrom
4.0667 0.0000 0.0000
0.0000 4.0667 0.0000
0.0000 0.0000 8.0319
ATOMIC_POSITIONS crystal
Ti 0.0000 0.0000 0.0000
Ti 0.0000 0.0000 0.5000
Ti 0.0000 0.5000 0.2294
Ti 0.0000 0.5000 0.7706
Ti 0.5000 0.0000 0.2294
Ti 0.5000 0.0000 0.7706
Be 0.5000 0.5000 0.0000
Tl 0.5000 0.5000 0.5000
! **ΔH_f (0 K)**: 0.113 eV per formula unit
! **Volume**: 16.6 A^3/atom
! **Energy**: -53.35 eV per formula unit
! **Spin magnetization**: 0.00 μB/f.u.

! SrAlZn2 (PBE, relaxed); values from VASP
&SYSTEM
  ibrav = 0, nat = 4, ntyp = 3
/
ATOMIC_SPECIES
Sr 87.62 Sr.upf
Al 26.98 Al.upf
Zn 65.41 Zn.upf
CELL_PARAMETERS angstrom
3.4612 0.0000 0.0000
0.0000 3.4612 0.0000
0.0000 0.0000 7.3290
ATOMIC_POSITIONS crystal
Sr 0.0000 0.0000 0.0000
Al 0.0000 0.0000 0.5000
Zn 0.5000 0.5000 0.3081
Zn 0.5000 0.5000 0.6919
! **ΔH_f (0 K)**: -0.212 eV per formula unit
! **Volume**: 22.0 A^3/atom
! **Energy**: -8.18 eV per formula unit
! **Spin magnetization**: 0.00 μB/f.u.

! CaSmGeN3 (PBE, relaxed); values from VASP
&SYSTEM
  ibrav = 0, nat = 12, ntyp = 4
/
ATOMIC_SPECIES
Ca 40.08 Ca.upf
Sm 150.36 Sm.upf
Ge 72.64 Ge.upf
N 14.01 N.upf
CELL_PARAMETERS angstrom
6.8287 0.0000 0.0000
0.0000 3.3573 0.0000
-0.3918 0.0000 9.3690
ATOMIC_POSITIONS crystal
Ca 0.1808 0.2500 0.2215
Ca 0.8192 0.7500 0.7785
Sm 0.3530 0.7500 0.8782
Sm 0.6470 0.2500 0.1218
Ge 0.1131 0.2500 0.5929
Ge 0.8869 0.7500 0.4071
N 0.1099 0.2500 0.7843
N 0.1602 0.7500 0.4909
N 0.3909 0.7500 0.1226
N 0.6091 0.2500 0.8774
N 0.8398 0.2500 0.5091
N 0.8901 0.7500 0.2157
! **Raw formation energy**: -656 meV/atom
! **Volume**: 17.9 A^3/atom
! **Energy**: -40.25 eV per formula unit
! **Spin magnetization**: 0.00 μB/f.u.

! Mn2CoOs (PBE, relaxed); values from VASP
&SYSTEM
  ibrav = 0, nat = 16, ntyp = 3
/
ATOMIC_SPECIES
Mn 54.94 Mn.upf
Co 58.93 Co.upf
Os 190.23 Os.upf
CELL_PARAMETERS angstrom
3.5110 0.0000 0.0000
0.0000 3.5110 0.0000
0.0000 0.0000 16.4615
ATOMIC_POSITIONS crystal
Mn 0.1977 0.2500 0.1250
Mn 0.2500 0.6977 0.3750
Mn 0.2500 0.8023 0.8750
Mn 0.3023 0.2500 0.6250
Mn 0.6977 0.7500 0.6250
Mn 0.7500 0.1977 0.8750
Mn 0.7500 0.3023 0.3750
Mn 0.8023 0.7500 0.1250
Co 0.0000 0.0000 0.0000
Co 0.0000 0.5000 0.2500
Co 0.5000 0.0000 0.7500
Co 0.5000 0.5000 0.5000
Os 0.0000 0.0000 0.5000
Os 0.0000 0.5000 0.7500
Os 0.5000 0.0000 0.2500
Os 0.5000 0.5000 0.0000
! **ΔH_f (0 K)**: 2.549 eV per formula unit
! **Volume**: 12.7 A^3/atom
! **Energy**: -34.13 eV per formula unit
! **Spin magnetization**: 0.00 μB/f.u.

Q: Which of these has the lowest energy?
A: Ti6BeTl